[1]
Below is a relaxed structure of Li2As3Pd5, with properties calculated at the PBE level.

a = 12.193 Å, b = 12.193 Å, c = 6.337 Å
α = 90.00°, β = 90.00°, γ = 160.40°
Atoms (fractional coordinates):
Li: 0.023 0.977 0.500
Li: 0.305 0.695 0.248
Li: 0.695 0.305 0.748
Li: 0.977 0.023 0.000
As: 0.121 0.879 0.725
As: 0.291 0.709 0.724
As: 0.463 0.537 0.704
As: 0.537 0.463 0.204
As: 0.709 0.291 0.224
As: 0.879 0.121 0.225
Pd: 0.094 0.906 0.130
Pd: 0.206 0.794 0.474
Pd: 0.208 0.792 0.984
Pd: 0.380 0.620 0.943
Pd: 0.439 0.561 0.325
Pd: 0.561 0.439 0.825
Pd: 0.620 0.380 0.443
Pd: 0.792 0.208 0.484
Pd: 0.794 0.206 0.974
Pd: 0.906 0.094 0.630

## Properties
The calculation puts the energy of formation from the pure elements at -498.8 meV/atom. The calculation puts the calculated total energy at -4.8729 eV per atom. Its crystal system is orthorhombic.

[2]
Below is a relaxed structure of Dy5Ho5Tm, with properties calculated at the PBE level.

a = 6.794 Å, b = 6.798 Å, c = 8.488 Å
α = 75.04°, β = 75.18°, γ = 70.10°
Atoms (fractional coordinates):
Dy: 0.000 0.000 0.000
Dy: 0.148 0.145 0.363
Dy: 0.319 0.310 0.636
Dy: 0.681 0.690 0.364
Dy: 0.852 0.855 0.637
Ho: 0.000 0.500 0.000
Ho: 0.224 0.649 0.276
Ho: 0.351 0.771 0.728
Ho: 0.649 0.229 0.272
Ho: 0.776 0.351 0.724
Tm: 0.500 0.000 0.000

## Properties
The calculation puts the energy of formation from the pure elements at 149.8 meV/atom. The calculation puts the calculated total energy at -4.4293 eV per atom. Its crystal system is triclinic.